# PrHo2H

A geometry-optimized PrHo2H structure (PBE-GGA, Alexandria).

a b c (Å): 9.7476 9.7476 9.7476
angles (deg): 20.66 20.66 20.66
With the nearest neighbours (Å) after each atom.
Sites, in units of the cell vectors:
Pr: 0.0000 0.0000 0.0000  2 Ho 3.45, 6 Pr 3.50
Ho: 0.1206 0.1206 0.1206  3 H 2.41
Ho: 0.8794 0.8794 0.8794  3 H 2.41
H: 0.5000 0.5000 0.5000  6 Ho 2.41

Computed properties:
Final energy (eV per atom): -4.371